Density functional theory data (GGA-PBE) for a relaxed structure of InOsAu.

Lattice parameters (Å, degrees): 2.9894 2.9894 6.8537 90.00 90.00 120.00
Atoms (fractional coordinates):
1 Os 0.3333 0.6667 0.6626
2 In 0.6667 0.3333 0.3425
3 Au 0.0000 0.0000 0.9949

Results
Space-group type = P3m1
Calculated volume = 53 Å³/cell
ΔE to the lowest computed polymorph = 0.000 kcal/mol of atoms
Fermi-level density of states = 3.52 states/eV/cell
Calculated formation energy = 0.55 eV per atom
Theoretical density = 15.72 g/cm3